(1)
SCAN CaZrNi3, PBEsol geometry; symmetry = Pm-3m (221); ρ = 5.16 g cm⁻³; DFT formation energy = 0.588 eV per atom; spin magnetization = 0.00 μB/f.u.
1.0
4.625 0.000 0.000
0.000 4.625 0.000
0.000 0.000 4.625
Ni Ca Zr
3 1 1
Direct
0.000 0.500 0.000
0.000 0.000 0.500
0.500 0.000 0.000
0.500 0.500 0.500
0.000 0.000 0.000

(2)
SCAN Na2ReSiAu, PBEsol geometry; symmetry = P4/mmm (123); ρ = 6.61 g cm⁻³; formation energy (no corrections) = 0.966 eV/atom; spin magnetization = 2.05 μB/f.u.
1.0
-1.885 1.765 -3.742
-4.534 -0.282 2.150
0.603 4.623 1.877
Re Si Au Na
1 1 1 2
Direct
0.500 0.000 0.000
0.000 0.000 0.000
0.500 0.500 0.500
0.000 0.000 0.500
0.000 0.500 0.000

(3)
SCAN Na2As4O11, PBEsol geometry; symmetry = C2/c (15); ρ = 3.99 g cm⁻³; formation energy (no corrections) = -1.476 eV/atom; spin magnetization = 0.00 μB/f.u.
1.0
-0.736 6.013 -1.299
-2.355 -0.962 -5.649
-11.321 1.108 2.438
Na As O
4 8 22
Direct
0.737 0.539 0.535
0.461 0.263 0.965
0.263 0.461 0.465
0.539 0.737 0.035
0.045 0.464 0.165
0.536 0.955 0.335
0.955 0.536 0.835
0.464 0.045 0.665
0.003 0.084 0.382
0.916 0.997 0.118
0.997 0.916 0.618
0.084 0.003 0.882
0.310 0.468 0.116
0.532 0.690 0.384
0.690 0.532 0.884
0.468 0.310 0.616
0.873 0.696 0.142
0.304 0.127 0.358
0.127 0.304 0.858
0.696 0.873 0.642
0.900 0.300 0.101
0.700 0.100 0.399
0.100 0.700 0.899
0.300 0.900 0.601
0.986 0.382 0.318
0.618 0.014 0.182
0.014 0.618 0.682
0.382 0.986 0.818
0.977 0.186 0.525
0.814 0.023 0.975
0.023 0.814 0.475
0.186 0.977 0.025
0.043 0.957 0.250
0.957 0.043 0.750

(4)
SCAN K4BaOs, PBEsol geometry; symmetry = F-43m (216); ρ = 3.54 g cm⁻³; DFT formation energy = 1.212 eV per atom; spin magnetization = 0.68 μB/f.u.
1.0
6.846 0.000 0.000
3.423 5.929 0.000
3.423 1.976 5.590
Ba K Os
1 4 1
Direct
0.000 0.000 0.000
0.621 0.136 0.621
0.621 0.621 0.136
0.136 0.621 0.621
0.621 0.621 0.621
0.250 0.250 0.250

(5)
SCAN Co2OsRh, PBEsol geometry; symmetry = R3m (160); ρ = 13.88 g cm⁻³; DFT formation energy = 0.171 eV per atom; spin magnetization = 3.83 μB/f.u.
1.0
2.620 0.000 0.000
1.310 2.269 0.000
1.310 0.756 8.275
Rh Os Co
1 1 2
Direct
0.253 0.253 0.242
0.497 0.497 0.510
0.004 0.004 0.989
0.747 0.747 0.759

(6)
SCAN Cd3In5, PBEsol geometry; relative energy among the computed polymorphs = 0.23 eV/f.u.; symmetry = P6_3/mcm (193); ρ = 7.76 g cm⁻³; DFT formation energy = 0.101 eV per atom; spin magnetization = 0.00 μB/f.u.
1.0
5.661 0.000 0.000
0.000 8.922 0.000
0.000 -4.461 7.727
Cd In
6 10
Direct
0.750 0.410 0.410
0.250 0.590 0.590
0.750 0.000 0.590
0.750 0.590 0.000
0.250 0.410 0.000
0.250 0.000 0.410
0.000 0.667 0.333
0.500 0.333 0.667
0.000 0.333 0.667
0.500 0.667 0.333
0.750 0.784 0.784
0.250 0.216 0.216
0.750 0.000 0.216
0.750 0.216 0.000
0.250 0.784 0.000
0.250 0.000 0.784